The following is a DFT calculation (GGA-PBE) of a relaxed La2VCCl crystal.

Values from the calculation:
* symmetry: P4/mmm
* size of the total moment: 5.04 μB/f.u.
* ΔE_f (raw): 0.57 eV per atom

Unit cell a=5.245 b=4.534 c=5.245 alpha=90.00 beta=90.00 gamma=90.00
Fractional coordinates of all 5 atoms:
Cl: 0.000 0.500 0.000
La: 0.000 0.000 0.500
La: 0.500 0.000 0.000
V: 0.500 0.500 0.500
C: 0.000 0.000 0.000



The following is a DFT calculation (GGA-PBE) of a relaxed KAlSiO4 crystal.

Values from the calculation:
* symmetry: P3
* size of the total moment: 0.09 μB/f.u.
* ΔE_f (raw): -2.44 eV per atom
* polymorph energy (0 for the lowest one): 0.352 eV per atom

Unit cell a=5.342 b=5.170 c=5.170 alpha=60.00 beta=90.00 gamma=90.00
Fractional coordinates of all 7 atoms:
O: 0.064 0.019 0.372
O: 0.064 0.372 0.609
O: 0.064 0.609 0.019
O: 0.644 0.333 0.333
Al: 0.051 0.667 0.667
Si: 0.942 0.333 0.333
K: 0.477 0.000 0.000



Number 1: electronic total energy -5.44 eV/atom, N(E_F) 0.939 states/eV/atom, volume 24.9 Å³ per atom. Number 2: electronic total energy -6.74 eV/atom, N(E_F) 0.000 states/eV/atom, volume 17.7 Å³ per atom.